[1]
{
  "formula": "Rb2GaTeSe5",
  "functional": "PBE",
  "state": "relaxed",
  "dft_energy_ev_per_atom": -3.4193,
  "magnetic_moment_mub_per_fu": 0.22,
  "lattice_angstrom": [[3.877, 0.000, 0.000], [-1.939, 10.401, 0.000], [0.000, 0.000, 14.778]],
  "species": ["Rb", "Rb", "Rb", "Rb", "Te", "Te", "Se", "Se", "Se", "Se", "Se", "Se", "Se", "Se", "Se", "Se", "Ga", "Ga"],
  "frac_coords": [[0.130, 0.260, 0.287], [0.870, 0.740, 0.787], [0.909, 0.819, 0.158], [0.091, 0.181, 0.658], [0.229, 0.457, 0.028], [0.771, 0.543, 0.528], [0.510, 0.019, 0.819], [0.490, 0.981, 0.319], [0.068, 0.136, 0.050], [0.347, 0.693, 0.980], [0.932, 0.864, 0.550], [0.258, 0.515, 0.661], [0.653, 0.307, 0.480], [0.742, 0.485, 0.161], [0.692, 0.385, 0.894], [0.308, 0.615, 0.394], [0.422, 0.843, 0.448], [0.578, 0.157, 0.948]]
}

[2]
{
  "formula": "Pr12Mg2Tl5",
  "functional": "PBE",
  "state": "relaxed",
  "dft_energy_ev_per_atom": -3.9480,
  "ef_kj_per_mol_atoms": -13.4,
  "magnetic_moment_mub_per_fu": 0.00,
  "lattice_angstrom": [[-0.942, 0.501, -9.759], [-6.402, 1.047, 5.610], [0.995, 8.757, 0.353]],
  "species": ["Pr", "Pr", "Pr", "Pr", "Pr", "Pr", "Pr", "Pr", "Pr", "Pr", "Pr", "Pr", "Tl", "Tl", "Tl", "Tl", "Tl", "Mg", "Mg"],
  "frac_coords": [[0.096, 0.192, 0.857], [0.820, 0.234, 0.641], [0.340, 0.305, 0.205], [0.660, 0.695, 0.795], [0.580, 0.160, 0.318], [0.420, 0.840, 0.682], [0.180, 0.766, 0.359], [0.965, 0.305, 0.205], [0.414, 0.234, 0.641], [0.586, 0.766, 0.359], [0.035, 0.695, 0.795], [0.904, 0.808, 0.143], [0.681, 0.361, 0.969], [0.222, 0.444, 0.520], [0.000, 0.000, 0.500], [0.319, 0.639, 0.031], [0.778, 0.556, 0.480], [0.331, 0.000, 0.000], [0.669, 0.000, 0.000]]
}

[3]
{
  "formula": "NdSmHoMg",
  "functional": "PBE",
  "state": "relaxed",
  "dft_energy_ev_per_atom": -3.9454,
  "ef_kj_per_mol_atoms": -2.9,
  "magnetic_moment_mub_per_fu": 0.00,
  "relative_energy_ev_per_fu": 0.00,
  "lattice_angstrom": [[-0.765, -0.167, 3.585], [3.589, -0.085, 0.762], [0.120, 9.152, 0.453]],
  "species": ["Nd", "Mg", "Ho", "Sm"],
  "frac_coords": [[0.000, 0.000, 0.076], [0.000, 0.000, 0.566], [0.500, 0.500, 0.344], [0.500, 0.500, 0.799]]
}

[4]
{
  "formula": "NaCdPt2",
  "functional": "PBE",
  "state": "relaxed",
  "dft_energy_ev_per_atom": -3.7932,
  "ef_kj_per_mol_atoms": -20.7,
  "magnetic_moment_mub_per_fu": 0.00,
  "lattice_angstrom": [[-2.037, -2.210, -2.840], [2.819, -2.950, 0.273], [-2.172, -1.802, 2.960]],
  "species": ["Pt", "Pt", "Na", "Cd"],
  "frac_coords": [[0.000, 0.000, 0.500], [0.000, 0.500, 0.000], [0.500, 0.500, 0.500], [0.500, 0.000, 0.000]]
}

[5]
{
  "formula": "YOsPt3",
  "functional": "PBE",
  "state": "relaxed",
  "dft_energy_ev_per_atom": -5.3712,
  "ef_kj_per_mol_atoms": 172.9,
  "magnetic_moment_mub_per_fu": 2.82,
  "relative_energy_ev_per_fu": 7.13,
  "lattice_angstrom": [[-2.452, -4.048, -1.515], [2.078, 0.423, -4.494], [3.790, -2.851, 1.484]],
  "species": ["Pt", "Pt", "Pt", "Y", "Os"],
  "frac_coords": [[0.500, 0.000, 0.000], [0.000, 0.000, 0.500], [0.000, 0.500, 0.000], [0.000, 0.000, 0.000], [0.500, 0.500, 0.500]]
}

[6]
{
  "formula": "LiTm2Cu7",
  "functional": "PBE",
  "state": "relaxed",
  "dft_energy_ev_per_atom": -3.7590,
  "ef_kj_per_mol_atoms": 18.7,
  "magnetic_moment_mub_per_fu": 0.00,
  "lattice_angstrom": [[-3.215, -4.750, -2.253], [-0.620, -5.154, 3.322], [-5.469, -1.454, 2.441]],
  "species": ["Tm", "Tm", "Cu", "Cu", "Cu", "Cu", "Cu", "Cu", "Cu", "Li"],
  "frac_coords": [[0.250, 0.250, 0.250], [0.750, 0.750, 0.750], [0.500, 0.500, 0.500], [0.760, 0.240, 0.240], [0.760, 0.760, 0.240], [0.240, 0.760, 0.240], [0.240, 0.240, 0.760], [0.760, 0.240, 0.760], [0.240, 0.760, 0.760], [0.000, 0.000, 0.000]]
}